No. 1
## Ce5Ga2Te2 (GGA-PBE)

Data for an optimized crystal structure of Ce5Ga2Te2.

a b c (Å): 8.127 8.089 8.809
angles (deg): 90.00 62.53 90.00
Last column: magnetic moment on the atom in μB.
Fractional coordinates of all 18 atoms:
1 Ga 0.381 0.882 0.000  -0.02
2 Ga 0.619 0.118 0.000  -0.02
3 Ga 0.119 0.382 0.000  -0.02
4 Ga 0.881 0.618 0.000  -0.02
5 Ce 0.000 0.000 0.000  0.98
6 Ce 0.304 0.674 0.740  0.98
7 Ce 0.955 0.326 0.740  0.98
8 Ce 0.545 0.826 0.260  0.98
9 Ce 0.196 0.174 0.260  0.98
10 Ce 0.455 0.174 0.740  0.98
11 Ce 0.500 0.500 0.000  0.98
12 Ce 0.696 0.326 0.260  0.98
13 Ce 0.045 0.674 0.260  0.98
14 Ce 0.804 0.826 0.740  0.98
15 Te 0.793 0.000 0.413  -0.03
16 Te 0.207 0.000 0.587  -0.03
17 Te 0.293 0.500 0.413  -0.03
18 Te 0.707 0.500 0.587  -0.03

Summary:
theoretical density	7.08	g/cm³
raw total energy	-98.250	eV for the cell shown
energy relative to the elements, uncorrected	-791	meV per atom

***

No. 2
## FeBMoBr2 (GGA-PBE)

Data for an optimized crystal structure of FeBMoBr2.

a b c (Å): 5.037 4.742 5.037
angles (deg): 90.00 90.00 90.00
Last column: magnetic moment on the atom in μB.
Fractional coordinates of all 5 atoms:
1 Fe 0.000 0.500 0.000  2.60
2 Br 0.500 0.000 0.000  -0.08
3 Br 0.000 0.000 0.500  -0.03
4 Mo 0.000 0.000 0.000  -1.07
5 B 0.500 0.500 0.500  -0.25

Summary:
theoretical density	4.45	g/cm³
raw total energy	-21.269	eV for the cell shown
energy relative to the elements, uncorrected	1610	meV per atom

***

No. 3
## Tl2PS5 (GGA-PBE)

Data for an optimized crystal structure of Tl2PS5.

a b c (Å): 6.921 7.706 6.657
angles (deg): 122.98 109.34 100.93
Last column: magnetic moment on the atom in μB.
Fractional coordinates of all 8 atoms:
1 S 0.248 0.213 0.990  0.06
2 S 0.186 0.768 0.093  0.20
3 S 0.752 0.187 0.984  0.01
4 S 0.758 0.707 0.484  0.06
5 S 0.999 0.936 0.163  0.15
6 P 0.937 0.013 0.883  -0.01
7 Tl 0.652 0.263 0.437  0.02
8 Tl 0.245 0.689 0.521  0.00

Summary:
theoretical density	4.01	g/cm³
raw total energy	-32.579	eV for the cell shown
energy relative to the elements, uncorrected	-225	meV per atom

***

Please write out number 3 again, unchanged.
## Tl2PS5 (GGA-PBE)

Data for an optimized crystal structure of Tl2PS5.

a b c (Å): 6.921 7.706 6.657
angles (deg): 122.98 109.34 100.93
Last column: magnetic moment on the atom in μB.
Fractional coordinates of all 8 atoms:
1 S 0.248 0.213 0.990  0.06
2 S 0.186 0.768 0.093  0.20
3 S 0.752 0.187 0.984  0.01
4 S 0.758 0.707 0.484  0.06
5 S 0.999 0.936 0.163  0.15
6 P 0.937 0.013 0.883  -0.01
7 Tl 0.652 0.263 0.437  0.02
8 Tl 0.245 0.689 0.521  0.00

Summary:
theoretical density	4.01	g/cm³
raw total energy	-32.579	eV for the cell shown
energy relative to the elements, uncorrected	-225	meV per atom

***

> Which value of energy relative to the elements, uncorrected does entry 3 give?

-225 meV per atom

***

> What is the raw total energy in the third record?

-32.579 eV for the cell shown